(1)
GdInHg | Alexandria | GGA-PBE | optimized geometry; energy = -6.066 eV/atom; space group = No. 107; energy relative to the elements = -359.1 meV/atom; spin magnetization = 7.58 μB/f.u.; crystal system = tetragonal
1.0
3.570 0.000 0.000
0.000 3.570 0.000
0.000 0.000 12.210
Gd In Hg
2 2 2
Direct
0.000 0.000 0.000 Gd
0.500 0.500 0.500 Gd
0.000 0.000 0.680 In
0.500 0.500 0.180 In
0.000 0.000 0.336 Hg
0.500 0.500 0.836 Hg

(2)
GdInHgIr | Alexandria | GGA-PBE | optimized geometry; energy = -6.796 eV/atom; space group = No. 216; energy relative to the elements = -300.6 meV/atom; spin magnetization = 7.05 μB/f.u.; crystal system = cubic
1.0
6.996 0.000 0.000
0.000 6.996 0.000
0.000 0.000 6.996
Gd In Hg Ir
4 4 4 4
Direct
0.000 0.000 0.000 Gd
0.000 0.500 0.500 Gd
0.500 0.000 0.500 Gd
0.500 0.500 0.000 Gd
0.000 0.000 0.500 In
0.000 0.500 0.000 In
0.500 0.000 0.000 In
0.500 0.500 0.500 In
0.250 0.250 0.250 Hg
0.250 0.750 0.750 Hg
0.750 0.250 0.750 Hg
0.750 0.750 0.250 Hg
0.250 0.250 0.750 Ir
0.250 0.750 0.250 Ir
0.750 0.250 0.250 Ir
0.750 0.750 0.750 Ir

(3)
LiGdInHg | Alexandria | GGA-PBE | optimized geometry; energy = -5.108 eV/atom; space group = No. 216; energy relative to the elements = -349.3 meV/atom; spin magnetization = 7.00 μB/f.u.; crystal system = cubic
1.0
7.118 0.000 0.000
0.000 7.118 0.000
0.000 0.000 7.118
Li Gd In Hg
4 4 4 4
Direct
0.000 0.000 0.000 Li
0.000 0.500 0.500 Li
0.500 0.000 0.500 Li
0.500 0.500 0.000 Li
0.250 0.250 0.250 Gd
0.250 0.750 0.750 Gd
0.750 0.250 0.750 Gd
0.750 0.750 0.250 Gd
0.250 0.250 0.750 In
0.250 0.750 0.250 In
0.750 0.250 0.250 In
0.750 0.750 0.750 In
0.000 0.000 0.500 Hg
0.000 0.500 0.000 Hg
0.500 0.000 0.000 Hg
0.500 0.500 0.500 Hg

(4)
GdLuInHg | Alexandria | GGA-PBE | optimized geometry; energy = -5.866 eV/atom; space group = No. 216; energy relative to the elements = -455.3 meV/atom; spin magnetization = 7.64 μB/f.u.; crystal system = cubic
1.0
7.455 0.000 0.000
0.000 7.455 0.000
0.000 0.000 7.455
Gd Lu In Hg
4 4 4 4
Direct
0.000 0.000 0.000 Gd
0.000 0.500 0.500 Gd
0.500 0.000 0.500 Gd
0.500 0.500 0.000 Gd
0.000 0.000 0.500 Lu
0.000 0.500 0.000 Lu
0.500 0.000 0.000 Lu
0.500 0.500 0.500 Lu
0.250 0.250 0.750 In
0.250 0.750 0.250 In
0.750 0.250 0.250 In
0.750 0.750 0.750 In
0.250 0.250 0.250 Hg
0.250 0.750 0.750 Hg
0.750 0.250 0.750 Hg
0.750 0.750 0.250 Hg

(5)
NaGdInHg | Alexandria | GGA-PBE | optimized geometry; energy = -4.926 eV/atom; space group = No. 216; energy relative to the elements = -315.7 meV/atom; spin magnetization = 7.13 μB/f.u.; crystal system = cubic
1.0
7.444 0.000 0.000
0.000 7.444 0.000
0.000 0.000 7.444
Na Gd In Hg
4 4 4 4
Direct
0.000 0.000 0.000 Na
0.000 0.500 0.500 Na
0.500 0.000 0.500 Na
0.500 0.500 0.000 Na
0.000 0.000 0.500 Gd
0.000 0.500 0.000 Gd
0.500 0.000 0.000 Gd
0.500 0.500 0.500 Gd
0.250 0.250 0.250 In
0.250 0.750 0.750 In
0.750 0.250 0.750 In
0.750 0.750 0.250 In
0.250 0.250 0.750 Hg
0.250 0.750 0.250 Hg
0.750 0.250 0.250 Hg
0.750 0.750 0.750 Hg

(6)
NdGdInHg | Alexandria | GGA-PBE | optimized geometry; energy = -5.963 eV/atom; space group = No. 216; energy relative to the elements = -490.8 meV/atom; spin magnetization = 8.08 μB/f.u.; crystal system = cubic
1.0
7.646 0.000 0.000
0.000 7.646 0.000
0.000 0.000 7.646
Nd Gd In Hg
4 4 4 4
Direct
0.000 0.000 0.000 Nd
0.000 0.500 0.500 Nd
0.500 0.000 0.500 Nd
0.500 0.500 0.000 Nd
0.000 0.000 0.500 Gd
0.000 0.500 0.000 Gd
0.500 0.000 0.000 Gd
0.500 0.500 0.500 Gd
0.250 0.250 0.250 In
0.250 0.750 0.750 In
0.750 0.250 0.750 In
0.750 0.750 0.250 In
0.250 0.250 0.750 Hg
0.250 0.750 0.250 Hg
0.750 0.250 0.250 Hg
0.750 0.750 0.750 Hg